No. 1
Below is a crystal of BaCl3 relaxed with PBEsol, with properties calculated at the meta-GGA SCAN level.

abc: 4.4630 4.4788 5.9223
angles: 112.22 112.14 90.00
Site moments in Bohr magnetons follow the coordinates.
Atoms (fractional coordinates):
Cl 0.2507 0.2507 0.5015  0.38
Cl 0.7493 0.7493 0.4985  0.38
Cl 0.5000 0.0000 0.0000  0.10
Ba 0.0000 0.5000 0.0000  -0.01

Output
M_tot = 1.03 μB per formula unit
Raw formation energy = -1.87 eV per atom
Mass density = 4.0 Mg/m³
Calculated total energy = -17.7381 eV/atom
Symmetry = Immm

---

No. 2
Below is a crystal of Ba4Cl relaxed with PBEsol, with properties calculated at the meta-GGA SCAN level.

abc: 4.7144 4.7144 11.8336
angles: 101.49 101.49 90.00
Atoms (fractional coordinates):
Ba 0.4115 0.4115 0.8231
Ba 0.7500 0.2500 0.5000
Ba 0.5885 0.5885 0.1769
Ba 0.2500 0.7500 0.5000
Cl 0.0000 0.0000 0.0000

Output
M_tot = 0.00 μB per formula unit
Raw formation energy = -0.31 eV per atom
Mass density = 3.8 Mg/m³
Calculated total energy = -33.5447 eV/atom
Symmetry = I4/mmm

---

No. 3
Below is a crystal of BaCl2 relaxed with PBEsol, with properties calculated at the meta-GGA SCAN level.

abc: 4.7008 7.7976 9.3844
angles: 90.00 90.00 90.00
Atoms (fractional coordinates):
Ba 0.7500 0.2518 0.6173
Ba 0.2500 0.7482 0.3827
Ba 0.2500 0.2482 0.1173
Ba 0.7500 0.7518 0.8827
Cl 0.2500 0.1428 0.4299
Cl 0.7500 0.8572 0.5701
Cl 0.7500 0.9712 0.1700
Cl 0.2500 0.5288 0.6700
Cl 0.7500 0.3572 0.9299
Cl 0.7500 0.4712 0.3300
Cl 0.2500 0.6428 0.0701
Cl 0.2500 0.0288 0.8300

Output
M_tot = 0.00 μB per formula unit
Raw formation energy = -2.84 eV per atom
Mass density = 4.0 Mg/m³
Calculated total energy = -21.3468 eV/atom
Symmetry = Pnma

---

No. 4
Below is a crystal of Ba2Cl relaxed with PBEsol, with properties calculated at the meta-GGA SCAN level.

abc: 4.0903 4.1550 15.2922
angles: 82.19 90.00 90.00
Site moments in Bohr magnetons follow the coordinates.
Atoms (fractional coordinates):
Ba 0.7500 0.1940 0.6120  0.07
Ba 0.7500 0.5650 0.8701  0.08
Ba 0.2500 0.8060 0.3880  0.07
Ba 0.2500 0.4350 0.1299  0.08
Cl 0.2500 0.1054 0.7892  0.00
Cl 0.7500 0.8946 0.2108  0.00

Output
M_tot = 0.48 μB per formula unit
Raw formation energy = -1.22 eV per atom
Relative energy among the computed polymorphs = 0 meV per atom
Mass density = 4.0 Mg/m³
Calculated total energy = -30.2457 eV/atom
Symmetry = Cmcm

---

No. 5
Below is a crystal of BaCl5 relaxed with PBEsol, with properties calculated at the meta-GGA SCAN level.

abc: 5.3193 5.3193 7.1222
angles: 90.00 90.00 120.00
Site moments in Bohr magnetons follow the coordinates.
Atoms (fractional coordinates):
Cl 0.5000 0.0000 0.5000  0.00
Cl 0.5000 0.5000 0.5000  0.00
Cl 0.6667 0.3333 0.0000  -0.13
Cl 0.0000 0.5000 0.5000  0.00
Cl 0.3333 0.6667 0.0000  -0.13
Ba 0.0000 0.0000 0.0000  -0.01

Output
M_tot = 0.32 μB per formula unit
Raw formation energy = -0.99 eV per atom
Mass density = 3.0 Mg/m³
Calculated total energy = -14.2323 eV/atom
Symmetry = P6/mmm

---

No. 6
Below is a crystal of BaCl2 relaxed with PBEsol, with properties calculated at the meta-GGA SCAN level.

abc: 4.6004 8.0200 8.0200
angles: 120.00 90.00 90.00
Atoms (fractional coordinates):
Cl 0.0000 0.0000 0.7438
Cl 0.5000 0.0000 0.4107
Cl 0.5000 0.4107 0.0000
Cl 0.5000 0.5893 0.5893
Cl 0.0000 0.7438 0.0000
Cl 0.0000 0.2562 0.2562
Ba 0.0000 0.6667 0.3333
Ba 0.5000 0.0000 0.0000
Ba 0.0000 0.3333 0.6667

Output
M_tot = 0.00 μB per formula unit
Raw formation energy = -2.84 eV per atom
Mass density = 4.0 Mg/m³
Calculated total energy = -21.3416 eV/atom
Symmetry = P-62m

---

No. 7
Below is a crystal of BaCl2 relaxed with PBEsol, with properties calculated at the meta-GGA SCAN level.

abc: 5.1382 5.1382 5.1382
angles: 60.00 60.00 60.00
Atoms (fractional coordinates):
Cl 0.7500 0.7500 0.7500
Cl 0.2500 0.2500 0.2500
Ba 0.0000 0.0000 0.0000

Output
M_tot = 0.00 μB per formula unit
Raw formation energy = -2.84 eV per atom
Mass density = 3.6 Mg/m³
Calculated total energy = -21.3456 eV/atom
Symmetry = Fm-3m

---

No. 8
Below is a crystal of Ba2Cl relaxed with PBEsol, with properties calculated at the meta-GGA SCAN level.

abc: 6.7149 6.4609 6.4609
angles: 120.00 90.00 90.00
Site moments in Bohr magnetons follow the coordinates.
Atoms (fractional coordinates):
Cl 0.7500 0.3333 0.6667  0.05
Cl 0.2500 0.6667 0.3333  0.05
Ba 0.2500 0.3333 0.6667  0.35
Ba 0.5000 0.0000 0.0000  0.62
Ba 0.7500 0.6667 0.3333  0.35
Ba 0.0000 0.0000 0.0000  0.62

Output
M_tot = 2.87 μB per formula unit
Raw formation energy = -0.76 eV per atom
Relative energy among the computed polymorphs = 463 meV per atom
Mass density = 4.2 Mg/m³
Calculated total energy = -29.7831 eV/atom
Symmetry = P6_3/mmc

---

No. 9
Below is a crystal of BaCo3Cl relaxed with PBEsol, with properties calculated at the meta-GGA SCAN level.

abc: 4.9167 4.9167 4.9167
angles: 90.00 90.00 90.00
Site moments in Bohr magnetons follow the coordinates.
Atoms (fractional coordinates):
Co 0.0000 0.0000 0.5000  1.71
Co 0.0000 0.5000 0.0000  1.71
Co 0.5000 0.0000 0.0000  1.71
Cl 0.5000 0.5000 0.5000  0.06
Ba 0.0000 0.0000 0.0000  -0.23

Output
M_tot = 5.18 μB per formula unit
Raw formation energy = 1.99 eV per atom
Mass density = 4.9 Mg/m³
Calculated total energy = -17.8964 eV/atom
Symmetry = Pm-3m

---

No. 10
Below is a crystal of BaCo2Cl relaxed with PBEsol, with properties calculated at the meta-GGA SCAN level.

abc: 3.6018 5.3396 5.3396
angles: 66.32 70.29 70.29
Site moments in Bohr magnetons follow the coordinates.
Atoms (fractional coordinates):
Co 0.9900 0.0100 0.0100  1.62
Co 0.3347 0.1653 0.1653  1.79
Cl 0.6792 0.8208 0.8208  0.02
Ba 0.4961 0.5039 0.5039  -0.14

Output
M_tot = 3.00 μB per formula unit
Raw formation energy = 0.00 eV per atom
Relative energy among the computed polymorphs = 23 meV per atom
Mass density = 5.6 Mg/m³
Calculated total energy = -20.5312 eV/atom
Symmetry = Imm2

---

No. 11
Below is a crystal of Ba2CoCl relaxed with PBEsol, with properties calculated at the meta-GGA SCAN level.

abc: 5.3565 5.3547 5.3547
angles: 60.00 59.98 59.98
Site moments in Bohr magnetons follow the coordinates.
Atoms (fractional coordinates):
Co 0.5000 0.0000 0.0000  1.71
Ba 0.7500 0.2500 0.2500  -0.20
Ba 0.2500 0.7500 0.7500  -0.20
Cl 0.0000 0.5000 0.5000  0.00

Output
M_tot = 0.65 μB per formula unit
Raw formation energy = -0.46 eV per atom
Relative energy among the computed polymorphs = 215 meV per atom
Mass density = 5.6 Mg/m³
Calculated total energy = -26.5565 eV/atom
Symmetry = Fm-3m

---

No. 12
Below is a crystal of BaCoCl2 relaxed with PBEsol, with properties calculated at the meta-GGA SCAN level.

abc: 4.0959 4.5092 5.7770
angles: 112.87 90.00 90.00
Site moments in Bohr magnetons follow the coordinates.
Atoms (fractional coordinates):
Ba 0.5000 0.4423 0.7603  -0.10
Cl 0.0000 0.0168 0.9100  0.01
Cl 0.5000 0.7395 0.3529  0.00
Co 0.0000 0.8013 0.4769  1.45

Output
M_tot = 1.08 μB per formula unit
Raw formation energy = -1.22 eV per atom
Relative energy among the computed polymorphs = 0 meV per atom
Mass density = 4.5 Mg/m³
Calculated total energy = -19.4223 eV/atom
Symmetry = Pm